A geometry-optimized Pm8Ni2Ge structure, computed with PBE-GGA.

Properties
Energy relative to the lowest polymorph listed for this composition   0.000 eV/atom

abc: 5.1404 6.8904 9.5785
angles: 110.42 105.56 90.00
Fractional coordinates of all 11 atoms:
Pm  0.9665  0.2082  0.9330
Pm  0.3194  0.9927  0.6387
Pm  0.4045  0.5276  0.8089
Pm  0.6806  0.0073  0.3613
Pm  0.5955  0.4724  0.1911
Pm  0.1975  0.3484  0.3949
Pm  0.0335  0.7918  0.0670
Pm  0.8025  0.6516  0.6051
Ge  0.5000  0.0000  0.0000
Ni  0.1684  0.7203  0.3368
Ni  0.8316  0.2797  0.6632

A geometry-optimized Pm3Ni2Ge4 structure, computed with PBE-GGA.

Properties
Energy relative to the lowest polymorph listed for this composition   0.021 eV/atom

abc: 4.2564 5.8191 8.2800
angles: 106.25 90.00 111.45
Fractional coordinates of all 9 atoms:
Pm  0.0000  0.0000  0.0000
Pm  0.6228  0.2457  0.6902
Pm  0.3772  0.7543  0.3098
Ge  0.1022  0.2045  0.4017
Ge  0.7121  0.4243  0.0764
Ge  0.2879  0.5757  0.9236
Ge  0.8978  0.7955  0.5983
Ni  0.6857  0.3715  0.3560
Ni  0.3143  0.6285  0.6440

A geometry-optimized Pm7Ni2Ge2 structure, computed with PBE-GGA.

abc: 6.8580 6.8515 6.8580
angles: 90.00 110.29 90.00
Fractional coordinates of all 11 atoms:
Ge  0.1651  0.5000  0.1651
Ge  0.8349  0.5000  0.8349
Pm  0.4998  0.2457  0.5002
Pm  0.9998  0.2605  0.5003
Pm  0.0000  0.0000  0.0000
Pm  0.5002  0.7543  0.4998
Pm  0.5003  0.7395  0.9998
Pm  0.4997  0.2605  0.0002
Pm  0.0002  0.7395  0.4997
Ni  0.7098  0.0000  0.2902
Ni  0.2902  0.0000  0.7098

A geometry-optimized Pm4NiGe structure, computed with PBE-GGA.

abc: 4.8954 4.8980 7.1687
angles: 89.82 89.93 90.00
Fractional coordinates of all 6 atoms:
Pm  0.5016  0.9982  0.7363
Pm  0.0009  0.4966  0.2599
Pm  0.0016  0.4980  0.7363
Pm  0.5010  0.9965  0.2599
Ni  0.0014  0.9970  0.4982
Ge  0.5012  0.4975  0.9981

DFT formation energy list, top to bottom, in eV/atom: -0.239, -0.756, -0.257, -0.263
Theoretical density list, top to bottom, in g cm⁻³: 7.36, 7.69, 7.02, 6.87